(1)
Density functional theory data (PBE) for an optimized crystal structure of Nd3SmPu2Te6.

## Properties
For the density of states at the Fermi level, the calculation gives 48.21 states/eV/cell. The raw total energy comes out at -6.868 eV per atom.

Cell lengths 19.4987, 4.4494, 8.9664 Å; angles 90.00, 103.61, 90.00 degrees
Space group C2/m (No. 12)
Unique sites:
Nd 0.0000 0.0000 0.0000 x2
Nd 0.1658 0.5000 0.3337 x4
Sm 0.0000 0.0000 0.5000 x2
Pu 0.1663 0.5000 0.8331 x4
Te 0.0015 0.5000 0.7482 x4
Te 0.1661 0.0000 0.5874 x4
Te 0.1682 0.0000 0.0800 x4

=====

(2)
Density functional theory data (PBE) for an optimized crystal structure of NdSmPuTl.

## Properties
For the density of states at the Fermi level, the calculation gives 66.44 states/eV/cell. The value obtained for the energy of formation from the pure elements is 0.083 eV per formula unit.

Cell lengths 7.8051, 7.8051, 7.8051 Å; angles 90.00, 90.00, 90.00 degrees
Space group F-43m (No. 216)
Unique sites:
Nd 0.0000 0.0000 0.0000 x4
Sm 0.0000 0.0000 0.5000 x4
Pu 0.2500 0.2500 0.7500 x4
Tl 0.2500 0.2500 0.2500 x4

=====

(3)
Density functional theory data (PBE) for an optimized crystal structure of NdSmTmPu.

## Properties
For the density of states at the Fermi level, the calculation gives 50.42 states/eV/cell. The value obtained for the energy of formation from the pure elements is 0.836 eV per formula unit.

Cell lengths 7.9875, 7.9875, 7.9875 Å; angles 90.00, 90.00, 90.00 degrees
Space group F-43m (No. 216)
Unique sites:
Nd 0.0000 0.0000 0.0000 x4
Sm 0.0000 0.0000 0.5000 x4
Tm 0.2500 0.2500 0.2500 x4
Pu 0.2500 0.2500 0.7500 x4

=====

(4)
Density functional theory data (PBE) for an optimized crystal structure of Nd2Sm6Y3Pu.

## Properties
For the density of states at the Fermi level, the calculation gives 52.08 states/eV/cell. The value obtained for the energy of formation from the pure elements is 0.616 eV per formula unit.

Cell lengths 6.2557, 10.8477, 11.9109 Å; angles 90.00, 100.14, 90.00 degrees
Space group C2/m (No. 12)
Unique sites:
Nd 0.0000 0.1666 0.0000 x4
Sm 0.2460 0.5000 0.7499 x4
Sm 0.2481 0.3354 0.2501 x8
Y 0.0000 0.0000 0.5000 x2
Y 0.0000 0.3335 0.5000 x4
Pu 0.0000 0.5000 0.0000 x2

=====

(5)
Density functional theory data (PBE) for an optimized crystal structure of NdSmYPu.

## Properties
For the density of states at the Fermi level, the calculation gives 50.96 states/eV/cell. The value obtained for the energy of formation from the pure elements is 0.858 eV per formula unit.

Cell lengths 8.0381, 8.0381, 8.0381 Å; angles 90.00, 90.00, 90.00 degrees
Space group F-43m (No. 216)
Unique sites:
Nd 0.0000 0.0000 0.0000 x4
Sm 0.0000 0.0000 0.5000 x4
Y 0.2500 0.2500 0.7500 x4
Pu 0.2500 0.2500 0.2500 x4

=====

(6)
Density functional theory data (PBE) for an optimized crystal structure of Nd3Sm6Y2Pu.

## Properties
For the density of states at the Fermi level, the calculation gives 49.09 states/eV/cell. The value obtained for the energy of formation from the pure elements is 0.613 eV per formula unit.

Cell lengths 6.2685, 10.8663, 11.9489 Å; angles 90.00, 100.14, 90.00 degrees
Space group C2/m (No. 12)
Unique sites:
Nd 0.0000 0.0000 0.0000 x2
Nd 0.0000 0.3334 0.0000 x4
Sm 0.2458 0.3356 0.7451 x8
Sm 0.2474 0.5000 0.2549 x4
Y 0.0000 0.1665 0.5000 x4
Pu 0.0000 0.5000 0.5000 x2

=====

(7)
Density functional theory data (PBE) for an optimized crystal structure of Nd3Sm2Y6Pu.

## Properties
For the density of states at the Fermi level, the calculation gives 46.91 states/eV/cell. The value obtained for the energy of formation from the pure elements is 0.519 eV per formula unit.

Cell lengths 6.2375, 10.8094, 11.8210 Å; angles 90.00, 100.15, 90.00 degrees
Space group C2/m (No. 12)
Unique sites:
Nd 0.0000 0.0000 0.0000 x2
Nd 0.0000 0.3330 0.0000 x4
Sm 0.0000 0.1666 0.5000 x4
Y 0.2464 0.3355 0.7463 x8
Y 0.2472 0.5000 0.2536 x4
Pu 0.0000 0.5000 0.5000 x2

=====

(8)
Density functional theory data (PBE) for an optimized crystal structure of Nd2PuSn9.

## Properties
For the density of states at the Fermi level, the calculation gives 14.81 states/eV/cell. The value obtained for the energy of formation from the pure elements is -3.795 eV per formula unit.

Cell lengths 5.4852, 3.7863, 15.9592 Å; angles 90.00, 94.66, 90.00 degrees
Space group P2/m (No. 10)
Unique sites:
Nd 0.1739 0.0000 0.1706 x2
Pu 0.5000 0.0000 0.5000 x1
Sn 0.0000 0.5000 0.0000 x1
Sn 0.0000 0.5000 0.5000 x1
Sn 0.1714 0.0000 0.6640 x2
Sn 0.3272 0.5000 0.8330 x2
Sn 0.3354 0.5000 0.3371 x2
Sn 0.5000 0.0000 0.0000 x1

=====

(9)
Density functional theory data (PBE) for an optimized crystal structure of NdPuSn2.

## Properties
For the density of states at the Fermi level, the calculation gives 29.02 states/eV/cell. The value obtained for the energy of formation from the pure elements is -1.213 eV per formula unit.

Cell lengths 3.6007, 3.6007, 31.0164 Å; angles 90.00, 90.00, 120.00 degrees
Space group R-3m (No. 166, hexagonal axes)
Unique sites:
Nd 0.0000 0.0000 0.0000 x3
Pu 0.0000 0.0000 0.5000 x3
Sn 0.0000 0.0000 0.2491 x6

=====

(10)
Density functional theory data (PBE) for an optimized crystal structure of Nd5PuSn3.

## Properties
For the density of states at the Fermi level, the calculation gives 21.26 states/eV/cell. The value obtained for the energy of formation from the pure elements is -4.942 eV per formula unit.

Cell lengths 9.6642, 9.6642, 6.6289 Å; angles 90.00, 90.00, 120.00 degrees
Space group P6_3/mcm (No. 193)
Unique sites:
Nd 0.0000 0.3192 0.2500 x6
Nd 0.3333 0.6667 0.0000 x4
Pu 0.0000 0.0000 0.0000 x2
Sn 0.0000 0.3435 0.7500 x6

=====

(11)
Density functional theory data (PBE) for an optimized crystal structure of NdPuSn2.

## Properties
For the density of states at the Fermi level, the calculation gives 45.17 states/eV/cell. The value obtained for the energy of formation from the pure elements is -1.721 eV per formula unit.

Cell lengths 7.6611, 7.6611, 7.6611 Å; angles 90.00, 90.00, 90.00 degrees
Space group Fm-3m (No. 225)
Unique sites:
Nd 0.0000 0.0000 0.0000 x4
Pu 0.0000 0.0000 0.5000 x4
Sn 0.2500 0.2500 0.2500 x8

=====

(12)
Density functional theory data (PBE) for an optimized crystal structure of Nd2PuSn.

## Properties
The energy relative to the lowest polymorph listed for this composition comes out at 403 meV per atom. For the density of states at the Fermi level, the calculation gives 36.28 states/eV/cell. The value obtained for the energy of formation from the pure elements is 0.297 eV per formula unit.

Cell lengths 3.4632, 3.4632, 36.1482 Å; angles 90.00, 90.00, 120.00 degrees
Space group R-3m (No. 166, hexagonal axes)
Unique sites:
Nd 0.0000 0.0000 0.0923 x6
Pu 0.0000 0.0000 0.0000 x3
Sn 0.0000 0.0000 0.5000 x3

=====

Copy entry 5 word for word.
Density functional theory data (PBE) for an optimized crystal structure of NdSmYPu.

## Properties
For the density of states at the Fermi level, the calculation gives 50.96 states/eV/cell. The value obtained for the energy of formation from the pure elements is 0.858 eV per formula unit.

Cell lengths 8.0381, 8.0381, 8.0381 Å; angles 90.00, 90.00, 90.00 degrees
Space group F-43m (No. 216)
Unique sites:
Nd 0.0000 0.0000 0.0000 x4
Sm 0.0000 0.0000 0.5000 x4
Y 0.2500 0.2500 0.7500 x4
Pu 0.2500 0.2500 0.2500 x4